Entry from the Alexandria database: crystalline YZn2GaCo at its relaxed geometry (PBE-GGA).

Cell: 4.556 4.556 4.480 Å, 90.00 90.00 90.00°
Positions (direct):
1 Y 0.000 0.000 0.000
2 Zn 0.000 0.500 0.500
3 Zn 0.500 0.000 0.500
4 Ga 0.500 0.500 0.000
5 Co 0.500 0.500 0.500

Results
Space-group type: P4/mmm, No. 123
Magnetization, μB/f.u.: 0.35
Formation energy, eV per formula unit: -1.0


Entry from the Alexandria database: crystalline LiAg3Pd at its relaxed geometry (PBE-GGA).

Cell: 4.413 4.413 4.413 Å, 90.00 90.00 90.00°
Positions (direct):
1 Li 0.000 0.000 0.000
2 Ag 0.000 0.000 0.500
3 Ag 0.000 0.500 0.000
4 Ag 0.500 0.000 0.000
5 Pd 0.500 0.500 0.500

Results
Space-group type: Pm-3m, No. 221
Magnetization, μB/f.u.: 0.00
Energy above the most stable polymorph in this dataset, eV/atom: 0.538
Formation energy, eV per formula unit: 1.9


Entry from the Alexandria database: crystalline Cd2SnB2O6 at its relaxed geometry (PBE-GGA).

Cell: 5.422 5.422 6.221 Å, 90.00 90.00 120.00°
Positions (direct):
1 Cd 0.333 0.667 0.187
2 Cd 0.667 0.333 0.813
3 Sn 0.000 0.000 0.500
4 B 0.333 0.667 0.742
5 B 0.667 0.333 0.258
6 O 0.089 0.400 0.745
7 O 0.311 0.911 0.745
8 O 0.400 0.311 0.255
9 O 0.600 0.689 0.745
10 O 0.689 0.089 0.255
11 O 0.911 0.600 0.255

Results
Space-group type: P-3, No. 147
Magnetization, μB/f.u.: 0.00
Formation energy without anion corrections, eV/atom: -1.61


Entry from the Alexandria database: crystalline Th4P at its relaxed geometry (PBE-GGA).

Cell: 5.492 5.492 5.492 Å, 90.00 90.00 90.00°
Positions (direct):
1 Th 0.000 0.000 0.000
2 Th 0.000 0.500 0.500
3 Th 0.500 0.000 0.500
4 Th 0.500 0.500 0.000
5 P 0.500 0.500 0.500

Results
Space-group type: Pm-3m, No. 221
Magnetization, μB/f.u.: 0.00
Formation energy, eV per formula unit: -1.6